*P*
Al2ZnTe (PBE, optimized geometry); space group = Imm2
1.0
-1.971 2.231 5.544
-4.952 -1.836 3.421
5.108 -1.917 -3.135
Te Al Zn
1 2 1
direct
0.545 0.545 0.000 Te
0.748 0.248 0.500 Al
0.938 0.938 0.000 Al
0.269 0.769 0.500 Zn

***

*Q*
Al2ZnTe (PBE, optimized geometry); space group = F-43m
1.0
4.894 0.000 0.000
2.447 4.238 0.000
2.447 1.413 3.996
Te Zn Al
1 1 2
direct
0.500 0.500 0.500 Te
0.750 0.750 0.750 Zn
0.000 0.000 0.000 Al
0.250 0.250 0.250 Al

***

*R*
Al2ZnTe (PBE, optimized geometry); space group = Cmm2
1.0
-2.463 1.180 1.804
0.893 -1.963 2.462
4.599 5.473 2.698
Al Te Zn
2 1 1
direct
0.500 0.500 0.215 Al
0.000 0.000 0.998 Al
0.000 0.000 0.494 Te
0.500 0.500 0.793 Zn

***

*S*
Al2ZnTe (PBE, optimized geometry); space group = R-3m
1.0
6.146 -0.500 -0.302
5.066 3.516 -0.302
5.066 1.363 3.255
Zn Al Te
1 2 1
direct
0.750 0.750 0.750 Zn
0.476 0.476 0.476 Al
0.024 0.024 0.024 Al
0.250 0.250 0.250 Te

***

*S* is the most stable structure; the next one sits 0.052 eV/atom above it.